one | # PBE KPtIO2, optimized geometry
data_KPtIO2
_cell_length_a 4.4024
_cell_length_b 4.4024
_cell_length_c 7.2136
_cell_angle_alpha 90.00
_cell_angle_beta 90.00
_cell_angle_gamma 90.00
_symmetry_space_group_name_H-M 'P 4/m m m'
_symmetry_Int_Tables_number 123
_symmetry_space_group_name_Hall '-P 4 2'
loop_
_atom_site_label
_atom_site_type_symbol
_atom_site_fract_x
_atom_site_fract_y
_atom_site_fract_z
K1 K 0.0000 0.0000 0.0000
Pt1 Pt 0.5000 0.5000 0.5000
I1 I 0.0000 0.0000 0.5000
O1 O 0.0000 0.5000 0.0000
# **Total magnetic moment**: 3.38 Bohr magnetons per cell

=====

two | # PBE KPtIO2, optimized geometry
data_KPtIO2
_cell_length_a 4.2455
_cell_length_b 4.2455
_cell_length_c 5.6863
_cell_angle_alpha 90.00
_cell_angle_beta 90.00
_cell_angle_gamma 90.00
_symmetry_space_group_name_H-M 'P 4/m m m'
_symmetry_Int_Tables_number 123
_symmetry_space_group_name_Hall '-P 4 2'
loop_
_atom_site_label
_atom_site_type_symbol
_atom_site_fract_x
_atom_site_fract_y
_atom_site_fract_z
K1 K 0.0000 0.0000 0.0000
Pt1 Pt 0.5000 0.5000 0.5000
I1 I 0.5000 0.5000 0.0000
O1 O 0.0000 0.5000 0.5000
# **Total magnetic moment**: 1.70 Bohr magnetons per cell

=====

Which of them is the least stable? Correct choice: one.

=====

one | # PBE KPtI2O, optimized geometry
data_KPtI2O
_cell_length_a 5.9392
_cell_length_b 5.9392
_cell_length_c 3.8792
_cell_angle_alpha 90.00
_cell_angle_beta 90.00
_cell_angle_gamma 90.00
_symmetry_space_group_name_H-M 'P 4/m m m'
_symmetry_Int_Tables_number 123
_symmetry_space_group_name_Hall '-P 4 2'
loop_
_atom_site_label
_atom_site_type_symbol
_atom_site_fract_x
_atom_site_fract_y
_atom_site_fract_z
K1 K 0.0000 0.0000 0.0000
Pt1 Pt 0.5000 0.5000 0.5000
I1 I 0.0000 0.5000 0.5000
O1 O 0.5000 0.5000 0.0000
# **Total magnetic moment**: 0.39 Bohr magnetons per cell

=====

two | # PBE KPtI2O, optimized geometry
data_KPtI2O
_cell_length_a 6.2493
_cell_length_b 6.2493
_cell_length_c 4.5286
_cell_angle_alpha 90.00
_cell_angle_beta 90.00
_cell_angle_gamma 90.00
_symmetry_space_group_name_H-M 'P 4/m m m'
_symmetry_Int_Tables_number 123
_symmetry_space_group_name_Hall '-P 4 2'
loop_
_atom_site_label
_atom_site_type_symbol
_atom_site_fract_x
_atom_site_fract_y
_atom_site_fract_z
K1 K 0.0000 0.0000 0.0000
Pt1 Pt 0.5000 0.5000 0.5000
I1 I 0.0000 0.5000 0.0000
O1 O 0.0000 0.0000 0.5000
# **Total magnetic moment**: 3.06 Bohr magnetons per cell

=====

Which of them is the least stable? Correct choice: two.

=====

one | # PBE K2RbIO, optimized geometry
data_K2RbIO
_cell_length_a 4.5447
_cell_length_b 18.5015
_cell_length_c 8.8870
_cell_angle_alpha 90.00
_cell_angle_beta 90.00
_cell_angle_gamma 90.00
_symmetry_space_group_name_H-M 'C m c m'
_symmetry_Int_Tables_number 63
_symmetry_space_group_name_Hall '-C 2c 2'
loop_
_atom_site_label
_atom_site_type_symbol
_atom_site_fract_x
_atom_site_fract_y
_atom_site_fract_z
K1 K 0.0000 0.1319 0.0071
Rb1 Rb 0.0000 0.4975 0.7500
I1 I 0.0000 0.2790 0.7500
O1 O 0.0000 0.0000 0.0000
# **Total magnetic moment**: 0.37 Bohr magnetons per cell

=====

two | # PBE K2RbIO, optimized geometry
data_K2RbIO
_cell_length_a 5.4003
_cell_length_b 5.4003
_cell_length_c 5.6476
_cell_angle_alpha 90.00
_cell_angle_beta 90.00
_cell_angle_gamma 90.00
_symmetry_space_group_name_H-M 'P 4/m m m'
_symmetry_Int_Tables_number 123
_symmetry_space_group_name_Hall '-P 4 2'
loop_
_atom_site_label
_atom_site_type_symbol
_atom_site_fract_x
_atom_site_fract_y
_atom_site_fract_z
K1 K 0.0000 0.5000 0.0000
Rb1 Rb 0.0000 0.0000 0.5000
I1 I 0.5000 0.5000 0.5000
O1 O 0.0000 0.0000 0.0000
# **Total magnetic moment**: 0.00 Bohr magnetons per cell

=====

Which of them is the least stable? Correct choice: one.